1.
# GGA-PBE Tl2ZnSb, optimized geometry
data_Tl2ZnSb
_space_group_name_H-M_alt 'F -4 3 m'
_space_group_IT_number 216
_space_group_name_Hall 'F -4 2 3'
_cell_length_a 7.586
_cell_length_b 7.586
_cell_length_c 7.586
_cell_angle_alpha 90.00
_cell_angle_beta 90.00
_cell_angle_gamma 90.00
loop_
_atom_site_label
_atom_site_type_symbol
_atom_site_fract_x
_atom_site_fract_y
_atom_site_fract_z
Tl1 Tl 0.000 0.000 0.000
Tl2 Tl 0.250 0.250 0.250
Zn1 Zn 0.250 0.250 0.750
Sb1 Sb 0.000 0.000 0.500
# M_tot	0.00	μB per formula unit
# E_form (uncorrected)	0.128	eV/atom


2.
# GGA-PBE TaAg2Te2, optimized geometry
data_TaAg2Te2
_space_group_name_H-M_alt 'I 4/m m m'
_space_group_IT_number 139
_space_group_name_Hall '-I 4 2'
_cell_length_a 4.306
_cell_length_b 4.306
_cell_length_c 13.554
_cell_angle_alpha 90.00
_cell_angle_beta 90.00
_cell_angle_gamma 90.00
loop_
_atom_site_label
_atom_site_type_symbol
_atom_site_fract_x
_atom_site_fract_y
_atom_site_fract_z
Ta1 Ta 0.000 0.000 0.000
Ag1 Ag 0.000 0.000 0.405
Te1 Te 0.000 0.500 0.250
# M_tot	2.56	μB per formula unit
# E_form (uncorrected)	1.062	eV/atom


In the order shown, the computed density of states at the Fermi level values come out to 0.3387, 0.9915 states/eV per atom.